Record 1
Entry from the Alexandria database: a relaxed NiP2Ru crystal (PBE-GGA).

Results
**Energy above the lowest structure with this stoichiometry**: 0.141 eV/atom
**Total energy**: -6.707 eV/atom
**Total magnetization**: 0.0 μB/f.u.

Geometry as CIF:
```
data_NiP2Ru
_chemical_formula_sum 'Ni1 P2 Ru1'
_cell_length_a 7.1869
_cell_length_b 7.1869
_cell_length_c 7.1869
_cell_angle_alpha 23.21
_cell_angle_beta 23.21
_cell_angle_gamma 23.21
_space_group_name_H-M_alt 'P 1'
_space_group_IT_number 1
loop_
_space_group_symop_operation_xyz
'x,y,z'
loop_
_atom_site_label
_atom_site_fract_x
_atom_site_fract_y
_atom_site_fract_z
P1 0.4974 0.4974 0.4974
P2 0.0026 0.0026 0.0026
Ru1 0.2500 0.2500 0.2500
Ni1 0.7500 0.7500 0.7500
```

Record 2
Entry from the Alexandria database: a relaxed Ni2PRu crystal (PBE-GGA).

Results
**Total energy**: -6.546 eV/atom
**Total magnetization**: 1.9 μB/f.u.

Geometry as CIF:
```
data_Ni2PRu
_chemical_formula_sum 'Ni2 P1 Ru1'
_cell_length_a 4.5868
_cell_length_b 4.5868
_cell_length_c 4.5868
_cell_angle_alpha 134.88
_cell_angle_beta 134.88
_cell_angle_gamma 65.71
_space_group_name_H-M_alt 'P 1'
_space_group_IT_number 1
loop_
_space_group_symop_operation_xyz
'x,y,z'
loop_
_atom_site_label
_atom_site_fract_x
_atom_site_fract_y
_atom_site_fract_z
Ni1 0.7500 0.2500 0.5000
Ni2 0.2500 0.7500 0.5000
Ru1 0.0000 0.0000 0.0000
P1 0.5000 0.5000 0.0000
```

Record 3
Entry from the Alexandria database: a relaxed NiP2Ru crystal (PBE-GGA).

Results
**Energy above the lowest structure with this stoichiometry**: 0.000 eV/atom
**Total energy**: -6.848 eV/atom
**Total magnetization**: 0.0 μB/f.u.

Geometry as CIF:
```
data_NiP2Ru
_chemical_formula_sum 'Ni1 P2 Ru1'
_cell_length_a 3.8817
_cell_length_b 3.8817
_cell_length_c 5.2187
_cell_angle_alpha 91.38
_cell_angle_beta 91.38
_cell_angle_gamma 45.02
_space_group_name_H-M_alt 'P 1'
_space_group_IT_number 1
loop_
_space_group_symop_operation_xyz
'x,y,z'
loop_
_atom_site_label
_atom_site_fract_x
_atom_site_fract_y
_atom_site_fract_z
Ru1 0.4325 0.4325 0.5306
P1 0.0379 0.0379 0.2114
P2 0.7150 0.7150 0.7344
Ni1 0.3146 0.3146 0.0236
```

Record 4
Entry from the Alexandria database: a relaxed Ni2PRu crystal (PBE-GGA).

Results
**Total energy**: -6.774 eV/atom
**Total magnetization**: 0.0 μB/f.u.

Geometry as CIF:
```
data_Ni2PRu
_chemical_formula_sum 'Ni2 P1 Ru1'
_cell_length_a 4.8435
_cell_length_b 4.8435
_cell_length_c 4.8435
_cell_angle_alpha 146.97
_cell_angle_beta 130.09
_cell_angle_gamma 61.16
_space_group_name_H-M_alt 'P 1'
_space_group_IT_number 1
loop_
_space_group_symop_operation_xyz
'x,y,z'
loop_
_atom_site_label
_atom_site_fract_x
_atom_site_fract_y
_atom_site_fract_z
Ni1 0.2144 0.2144 0.0000
Ni2 0.7856 0.7856 0.0000
P1 0.0000 0.5000 0.5000
Ru1 0.5000 0.0000 0.5000
```

Record 5
Entry from the Alexandria database: a relaxed NiP2Ru crystal (PBE-GGA).

Results
**Energy above the lowest structure with this stoichiometry**: 0.203 eV/atom
**Total energy**: -6.645 eV/atom
**Total magnetization**: 0.0 μB/f.u.

Geometry as CIF:
```
data_NiP2Ru
_chemical_formula_sum 'Ni1 P2 Ru1'
_cell_length_a 2.9018
_cell_length_b 4.8510
_cell_length_c 4.8365
_cell_angle_alpha 47.77
_cell_angle_beta 90.00
_cell_angle_gamma 90.00
_space_group_name_H-M_alt 'P 1'
_space_group_IT_number 1
loop_
_space_group_symop_operation_xyz
'x,y,z'
loop_
_atom_site_label
_atom_site_fract_x
_atom_site_fract_y
_atom_site_fract_z
P1 0.5000 0.5000 0.0000
Ni1 0.0000 0.0000 0.5000
P2 0.0000 0.0000 0.0000
Ru1 0.5000 0.5000 0.5000
```

Record 6
Entry from the Alexandria database: a relaxed Ni2PRu crystal (PBE-GGA).

Results
**Total energy**: -6.777 eV/atom
**Total magnetization**: 0.0 μB/f.u.

Geometry as CIF:
```
data_Ni2PRu
_chemical_formula_sum 'Ni2 P1 Ru1'
_cell_length_a 4.4685
_cell_length_b 4.4685
_cell_length_c 4.4358
_cell_angle_alpha 65.95
_cell_angle_beta 65.95
_cell_angle_gamma 37.21
_space_group_name_H-M_alt 'P 1'
_space_group_IT_number 1
loop_
_space_group_symop_operation_xyz
'x,y,z'
loop_
_atom_site_label
_atom_site_fract_x
_atom_site_fract_y
_atom_site_fract_z
Ni1 0.7883 0.7883 0.7743
P1 0.4838 0.4838 0.4021
Ru1 0.2149 0.2149 0.3353
Ni2 0.0130 0.0130 0.9883
```

Among the records above, which one has the highest total magnetization?
number 2

total energy of number 5 (NiP2Ru)?
-6.645 eV/atom

Look up the total magnetization of the first one.
0.0 μB/f.u.